VASP calculation (PBE-GGA) on an optimized crystal structure of Dy2TeH2S.

## Properties
Total moment, μB per atom: 0.0000
Space group: P-3m1 (164)
Uncorrected energy, eV per atom: -5.185

Cell and atoms, written as POSCAR:
```
Dy2TeH2S
1.0
3.867 0.000 0.000
-1.934 3.349 0.000
0.000 0.000 7.980
Dy Te H S
2 1 2 1
Direct
0.333 0.667 0.225 Dy
0.667 0.333 0.775 Dy
0.000 0.000 0.500 Te
0.333 0.667 0.763 H
0.667 0.333 0.237 H
0.000 0.000 0.000 S
```